Computed, not measured: an optimized crystal structure of K2MgAg2 at the GGA-PBE level of DFT.

## Properties
* VASP energy: -1.83 eV/atom
* energy of formation: 0.072 eV/atom
* total moment: 0.0 μB per formula unit
* crystal system: tetragonal
* N(E_F): 0.444 states/eV/atom
* E above lowest polymorph: 0.0000 eV/atom

Cell: 7.6228 7.6228 5.4053 Å, 90.00 90.00 90.00°
Last column: nearest neighbours and their distance in Å.
Element x y z (fractional)
K1 0.1724 0.3276 0.0000  6 Ag 3.42-3.58, 1 K 3.72
K2 0.3276 0.8276 0.0000  6 Ag 3.42-3.58, 1 K 3.72
K3 0.6724 0.1724 0.0000  6 Ag 3.42-3.58, 1 K 3.72
K4 0.8276 0.6724 0.0000  6 Ag 3.42-3.58, 1 K 3.72
Mg1 0.0000 0.0000 0.5000  4 Ag 2.98
Mg2 0.5000 0.5000 0.5000  4 Ag 2.98
Ag1 0.1331 0.6331 0.5000  1 Ag 2.87, 2 Mg 2.98
Ag2 0.3669 0.1331 0.5000  1 Ag 2.87, 2 Mg 2.98
Ag3 0.6331 0.8669 0.5000  1 Ag 2.87, 2 Mg 2.98
Ag4 0.8669 0.3669 0.5000  1 Ag 2.87, 2 Mg 2.98